[1]
DFT (PBE) results for MgVP2 after structural relaxation.

POSCAR file:
```
MgVP2
1.0
-3.0553 0.2396 -0.4513
-1.8952 -2.2305 1.0147
-2.4224 3.3368 7.5393
P V Mg
2 1 1
Cartesian
-5.1905 -0.7477 2.8479 P
-2.1824 2.0936 5.2547 P
-3.6865 0.6729 4.0513 V
0.0000 0.0000 0.0000 Mg
```

Energy of formation (meV per atom): -243

---

[2]
DFT (PBE) results for Li2LaSi2 after structural relaxation.

POSCAR file:
```
Li2LaSi2
1.0
-3.9862 -1.0181 1.0156
1.2942 -1.2349 3.8416
-2.1623 3.9824 4.3460
Si Li La
2 2 1
Cartesian
-3.3349 1.7706 6.3673 Si
-1.5194 -0.0412 2.8359 Si
-1.1070 0.8105 5.3081 Li
-3.7472 0.9189 3.8951 Li
0.0000 0.0000 0.0000 La
```

Energy above the most stable polymorph in this dataset (kJ per mole of atoms): 0.00
Formation energy from raw total energies (eV per formula unit): -2.48

---

[3]
DFT (PBE) results for Hf3NiAs2 after structural relaxation.

POSCAR file:
```
Hf3NiAs2
1.0
-1.9911 2.2835 -2.2085
-7.0178 -7.6338 -1.5660
-5.5989 3.3920 8.5552
As Hf Ni
8 12 4
Cartesian
-2.2418 1.6165 2.1014 As
-11.6579 -2.2696 6.5727 As
-12.3660 -3.5748 2.6792 As
-6.5614 1.1240 2.3043 As
-6.0706 -1.4679 -0.8182 As
-8.5372 -0.4903 5.5989 As
-2.9499 0.3114 -1.7920 As
-8.0464 -3.0823 2.4763 As
-4.4024 1.5287 3.9586 Hf
-6.7188 -4.1396 0.1861 Hf
-5.6782 -1.4810 1.9968 Hf
-10.0315 -3.0019 4.3492 Hf
-7.8890 2.1814 4.5945 Hf
-4.5763 1.0437 0.4315 Hf
-8.7507 -5.0237 -2.0785 Hf
-11.1584 0.2176 5.5117 Hf
-3.4494 -2.1758 -0.7310 Hf
-10.2054 -3.4869 0.8221 Hf
-8.9296 -0.4772 2.7838 Hf
-5.8571 3.0655 6.8591 Hf
-2.0742 0.0600 0.3409 Ni
-12.5336 -2.0182 4.4397 Ni
-6.6514 -0.1778 4.2218 Ni
-7.9564 -1.7804 0.5589 Ni
```

Energy of formation (meV per atom): -810

---

[4]
DFT (PBE) results for Sr2CdS2 after structural relaxation.

POSCAR file:
```
Sr2CdS2
1.0
-8.1956 -0.6529 -0.1196
0.6067 -7.9692 1.9321
-0.1259 0.8960 3.7354
S Cd Sr
4 2 4
Cartesian
-6.5705 -5.7361 1.1545 S
-2.3516 -7.0010 1.6001 S
-1.0184 -2.8860 0.6580 S
-5.2373 -1.6211 0.2124 S
0.0000 0.0000 0.0000 Cd
-3.7944 -4.3111 0.9062 Cd
-4.9168 -6.7149 3.4224 Sr
-6.7803 -2.8546 2.4336 Sr
-0.9345 -4.8714 3.1144 Sr
-2.7980 -1.0111 2.1256 Sr
```

Formation energy from raw total energies (eV per formula unit): -7.04

---

[5]
DFT (PBE) results for TeOsO6 after structural relaxation.

POSCAR file:
```
TeOsO6
1.0
4.4673 0.0040 2.3272
1.6172 4.1569 2.3397
0.0786 0.0382 5.3008
O Te Os
6 1 1
Cartesian
3.5414 0.5252 5.9536 O
3.0248 3.0927 6.6089 O
2.6217 3.6739 4.0140 O
3.1384 1.1064 3.3587 O
4.9315 2.5184 4.8011 O
1.2317 1.6807 5.1665 O
0.0000 0.0000 0.0000 Te
3.0816 2.0995 4.9838 Os
```

Formation energy from raw total energies (eV per formula unit): -6.37

---

[6]
DFT (PBE) results for BeNi2W after structural relaxation.

POSCAR file:
```
BeNi2W
1.0
4.8406 0.0039 0.0081
2.2850 4.2673 -0.0081
-3.0207 -3.0398 2.2507
Ni W Be
2 1 1
Cartesian
0.2123 0.1273 0.0000 Ni
2.7422 -0.4197 1.1294 Ni
3.4337 2.0582 0.0000 W
1.2793 1.6011 1.1213 Be
```

Energy of formation (meV per atom): 12

---

Table of raw total energy (eV/f.u.), in record order: -22.506, -22.079, -49.800, -19.574, -50.489, -28.192
Table of calculated volume (A^3/atom), in record order: 17.46, 19.82, 17.65, 25.99, 12.17, 11.60